1.
Material: TaNiP2Cl
Method: DFT, GGA-PBE
State: relaxed

```
TaNiP2Cl
1.0
-1.1537 1.5710 4.4407
-3.5594 -3.2852 0.2375
3.0091 -3.1239 1.8869
Ta P Cl Ni
1 2 1 1
direct
0.0000 0.0000 0.0000 Ta
0.0000 0.5000 0.0000 P
0.5000 0.0000 0.0000 P
0.0000 0.0000 0.5000 Cl
0.5000 0.5000 0.5000 Ni
```

Summary:
E_form (uncorrected) ... 0.581 eV/atom
Space group ... P4/mmm, No. 123
Offset from the most stable computed form ... 0.00 eV per formula unit

***

2.
Material: TaNiPCl2
Method: DFT, GGA-PBE
State: relaxed

```
TaNiPCl2
1.0
-4.4840 0.0089 -1.5301
0.9747 -3.6355 -2.8776
-1.2422 -3.1997 3.6217
P Cl Ni Ta
1 2 1 1
direct
0.0000 0.0000 0.5000 P
0.0000 0.5000 0.0000 Cl
0.5000 0.0000 0.0000 Cl
0.5000 0.5000 0.5000 Ni
0.0000 0.0000 0.0000 Ta
```

Summary:
E_form (uncorrected) ... 0.342 eV/atom
Space group ... P4/mmm, No. 123
Offset from the most stable computed form ... 0.00 eV per formula unit

***

3.
Material: TaNiP2Cl
Method: DFT, GGA-PBE
State: relaxed

```
TaNiP2Cl
1.0
4.3943 0.0000 0.0000
0.0000 4.3943 0.0000
0.0000 0.0000 4.3429
Cl P Ta Ni
1 2 1 1
direct
0.0000 0.0000 0.5000 Cl
0.0000 0.5000 0.0000 P
0.5000 0.0000 0.0000 P
0.5000 0.5000 0.5000 Ta
0.0000 0.0000 0.0000 Ni
```

Summary:
E_form (uncorrected) ... 0.707 eV/atom
Space group ... P4/mmm, No. 123
Offset from the most stable computed form ... 0.63 eV per formula unit

***

4.
Material: TaNiPCl2
Method: DFT, GGA-PBE
State: relaxed

```
TaNiPCl2
1.0
4.3297 0.0000 0.0000
0.0000 4.3297 0.0000
0.0000 0.0000 4.8122
Ni Ta Cl P
1 1 2 1
direct
0.0000 0.0000 0.0000 Ni
0.5000 0.5000 0.5000 Ta
0.0000 0.5000 0.0000 Cl
0.5000 0.0000 0.0000 Cl
0.0000 0.0000 0.5000 P
```

Summary:
E_form (uncorrected) ... 0.641 eV/atom
Space group ... P4/mmm, No. 123
Offset from the most stable computed form ... 1.50 eV per formula unit

***

5.
Material: TcNiP2Cl
Method: DFT, GGA-PBE
State: relaxed

```
TcNiP2Cl
1.0
-3.0328 -0.1006 3.3268
-1.5668 -3.9277 -1.5471
3.3221 -2.4886 2.9534
Cl Ni P Tc
1 1 2 1
direct
0.0000 0.0000 0.5000 Cl
0.5000 0.5000 0.5000 Ni
0.5000 0.0000 0.0000 P
0.0000 0.5000 0.0000 P
0.0000 0.0000 0.0000 Tc
```

Summary:
E_form (uncorrected) ... 0.754 eV/atom
Space group ... P4/mmm, No. 123
Offset from the most stable computed form ... 0.00 eV per formula unit

***

6.
Material: TcNiP2Cl
Method: DFT, GGA-PBE
State: relaxed

```
TcNiP2Cl
1.0
-2.1367 3.6913 -1.1088
-2.0560 -0.0193 3.8978
3.3642 2.4841 1.7869
Tc Ni P Cl
1 1 2 1
direct
0.5000 0.5000 0.5000 Tc
0.0000 0.0000 0.0000 Ni
0.0000 0.5000 0.0000 P
0.5000 0.0000 0.0000 P
0.0000 0.0000 0.5000 Cl
```

Summary:
E_form (uncorrected) ... 0.852 eV/atom
Space group ... P4/mmm, No. 123
Offset from the most stable computed form ... 0.49 eV per formula unit

***

7.
Material: TlNiP2Cl
Method: DFT, GGA-PBE
State: relaxed

```
TlNiP2Cl
1.0
4.2370 0.0000 0.0000
0.0000 4.2370 0.0000
0.0000 0.0000 8.3893
Tl Ni P Cl
1 1 2 1
direct
0.5000 0.5000 0.5000 Tl
0.0000 0.0000 0.0000 Ni
0.0000 0.5000 0.0000 P
0.5000 0.0000 0.0000 P
0.0000 0.0000 0.5000 Cl
```

Summary:
E_form (uncorrected) ... 0.071 eV/atom
Space group ... P4/mmm, No. 123
Offset from the most stable computed form ... 0.00 eV per formula unit

***

8.
Material: TlNiP2Cl
Method: DFT, GGA-PBE
State: relaxed

```
TlNiP2Cl
1.0
-3.4566 2.1285 3.1228
3.0591 -0.9092 4.0058
2.3300 4.7970 -0.6906
P Ni Tl Cl
2 1 1 1
direct
0.0000 0.5000 0.0000 P
0.5000 0.0000 0.0000 P
0.5000 0.5000 0.5000 Ni
0.0000 0.0000 0.0000 Tl
0.0000 0.0000 0.5000 Cl
```

Summary:
E_form (uncorrected) ... 1.421 eV/atom
Space group ... P4/mmm, No. 123
Offset from the most stable computed form ... 6.75 eV per formula unit